{
  "formula": "ScV2O2",
  "functional": "PBE+U",
  "state": "relaxed",
  "energy_ev_per_atom": -7.0828,
  "e_above_lowest_polymorph_mev_per_atom": 0,
  "lattice_angstrom": [[-4.457, 4.457, 4.287], [4.457, -4.457, 4.287], [4.457, 4.457, -4.287]],
  "species": ["Sc", "Sc", "Sc", "Sc", "V", "V", "V", "V", "V", "V", "V", "V", "O", "O", "O", "O", "O", "O", "O", "O"],
  "frac_coords": [[0.000, 0.000, 0.000], [0.000, 0.000, 0.500], [0.000, 0.500, 0.000], [0.500, 0.000, 0.500], [0.064, 0.641, 0.423], [0.282, 0.359, 0.923], [0.359, 0.282, 0.423], [0.359, 0.936, 0.077], [0.641, 0.064, 0.923], [0.641, 0.718, 0.577], [0.718, 0.641, 0.077], [0.936, 0.359, 0.577], [0.208, 0.309, 0.601], [0.208, 0.607, 0.899], [0.309, 0.208, 0.101], [0.393, 0.792, 0.601], [0.607, 0.208, 0.399], [0.691, 0.792, 0.899], [0.792, 0.393, 0.101], [0.792, 0.691, 0.399]]
}